Here is an optimized crystal structure of Cs2GaAgBr6 from the Alexandria database. Energies are from GGA-PBEsol.

- Crystal system: cubic
- E_tot: -3.079 eV/atom
- Theoretical density: 5051 kg/m³
- ΔE_f (raw): -1.10 eV per atom

```
Cs2GaAgBr6
1.0
7.5423 0.0000 0.0000
3.7712 6.5318 0.0000
3.7712 2.1773 6.1583
Cs Ga Br Ag
2 1 6 1
Cartesian
11.3135 6.5318 4.6187
3.7712 2.1773 1.5396
0.0000 0.0000 0.0000
5.5841 3.2240 4.6780
7.5423 2.0934 1.4802
9.5006 3.2240 4.6780
9.5006 5.4852 1.4802
7.5423 6.6158 4.6780
5.5841 5.4852 1.4802
7.5423 4.3546 3.0791
```

Here is an optimized crystal structure of Re2BTeBr from the Alexandria database. Energies are from GGA-PBEsol.

- Crystal system: tetragonal
- E_tot: -5.440 eV/atom
- Theoretical density: 11323 kg/m³
- ΔE_f (raw): 2.38 eV per atom

```
Re2BTeBr
1.0
3.8592 0.0000 0.0000
0.0000 4.7379 0.0000
0.0000 0.0000 4.7379
Br Re B Te
1 2 1 1
Cartesian
0.0000 0.0000 0.0000
0.0000 2.3689 0.0000
0.0000 0.0000 2.3689
1.9296 0.0000 0.0000
1.9296 2.3689 2.3689
```

Here is an optimized crystal structure of Cu2SiSe3 from the Alexandria database. Energies are from GGA-PBEsol.

- Crystal system: monoclinic
- E_tot: -4.602 eV/atom
- Theoretical density: 5358 kg/m³
- ΔE_f (raw): -0.27 eV per atom

```
Cu2SiSe3
1.0
6.6345 0.0000 0.0096
3.3172 5.8155 0.0048
2.1317 0.0000 6.3020
Si Cu Se
2 4 6
Cartesian
2.7254 0.9926 0.0984
7.1085 4.8229 3.2542
8.2396 2.9755 6.2717
3.8565 2.8401 3.1159
7.2292 1.0011 3.1029
4.9778 4.8145 6.2491
7.2314 4.8863 0.8487
8.2537 2.9727 3.9119
7.1749 0.9927 0.7324
4.9235 4.8229 3.8786
3.8706 2.8429 0.7562
4.9801 0.9293 3.9949
```

Here is an optimized crystal structure of Fe3Ir from the Alexandria database. Energies are from GGA-PBEsol.

- Crystal system: trigonal
- E_tot: -9.106 eV/atom
- Formation enthalpy at 0 K: 28.2 kJ/mol of formula units
- Theoretical density: 12163 kg/m³

```
Fe3Ir
1.0
2.5674 0.0000 0.0000
-0.8558 4.6999 0.0000
-0.8558 -2.3500 4.0703
Fe Ir
3 1
Cartesian
-0.4279 -1.1750 2.0351
0.4279 1.1750 2.0351
-0.4279 2.3500 0.0000
1.2837 0.0000 0.0000
```

Here is an optimized crystal structure of CuRe2PtN from the Alexandria database. Energies are from GGA-PBEsol.

- Crystal system: tetragonal
- E_tot: -7.435 eV/atom
- Theoretical density: 15164 kg/m³
- ΔE_f (raw): 1.86 eV per atom

```
CuRe2PtN
1.0
-1.5909 0.0521 -2.7971
-3.7864 -1.7647 2.1207
-1.4994 4.3391 0.9337
Pt Re Cu N
1 2 1 1
Cartesian
-3.4384 1.3133 0.1287
-0.7497 2.1696 0.4668
-1.8932 -0.8824 1.0603
0.0000 0.0000 0.0000
-0.7955 0.0261 -1.3985
```

Here is an optimized crystal structure of CaOsN2F from the Alexandria database. Energies are from GGA-PBEsol.

- Crystal system: tetragonal
- E_tot: -7.389 eV/atom
- E above lowest polymorph: 0 meV per atom
- Theoretical density: 7094 kg/m³
- ΔE_f (raw): -0.72 eV per atom

```
CaOsN2F
1.0
-2.6872 1.5869 -2.1900
2.1399 -0.6403 -3.0898
-1.9372 -3.9907 -0.5147
N Ca F Os
2 1 1 1
Cartesian
-1.3436 0.7935 -1.0950
1.0700 -0.3202 -1.5449
-1.2423 -1.5220 -2.8972
-0.9686 -1.9953 -0.2573
0.0000 0.0000 0.0000
```

Here is an optimized crystal structure of YAlTl2 from the Alexandria database. Energies are from GGA-PBEsol.

- Crystal system: monoclinic
- E_tot: -4.143 eV/atom
- Formation enthalpy at 0 K: -38.3 kJ/mol of formula units
- E above lowest polymorph: 0 meV per atom
- Theoretical density: 8745 kg/m³

```
YAlTl2
1.0
-3.3459 -0.3489 0.5522
-0.3759 -2.7097 -4.7007
2.7701 -3.0908 4.6648
Al Tl Y
1 2 1
Cartesian
-0.1879 -1.3549 -2.3504
-0.4758 -3.0747 0.2581
1.3851 -1.5454 2.3324
-1.6729 -0.1744 0.2761
```

Here is an optimized crystal structure of ReSi2Pb from the Alexandria database. Energies are from GGA-PBEsol.

- Crystal system: tetragonal
- E_tot: -6.575 eV/atom
- Theoretical density: 8867 kg/m³
- ΔE_f (raw): 0.63 eV per atom

```
ReSi2Pb
1.0
4.6275 0.0000 0.0000
0.0000 4.6275 0.0000
-2.3137 -2.3137 7.8633
Si Pb Re
4 2 2
Cartesian
1.7565 3.4706 1.9658
-1.1569 -0.5573 5.8975
2.8710 1.1569 1.9658
1.1569 0.5573 5.8975
0.0000 0.0000 0.0000
0.0000 2.3137 3.9316
2.3137 0.0000 3.9316
2.3137 2.3137 0.0000
```

Here is an optimized crystal structure of CaMnReOs2 from the Alexandria database. Energies are from GGA-PBEsol.

- Crystal system: tetragonal
- E_tot: -8.626 eV/atom
- Formation enthalpy at 0 K: 630.0 kJ/mol of formula units
- Theoretical density: 10654 kg/m³

```
CaMnReOs2
1.0
-0.3878 -2.5453 -3.8257
4.5684 -1.1792 0.3215
-1.1557 -3.7630 2.6207
Ca Mn Os Re
1 1 2 1
Cartesian
1.5125 -3.7437 -0.4418
-0.1939 -1.2727 -1.9129
-0.5779 -1.8815 1.3104
2.2842 -0.5896 0.1607
0.0000 0.0000 0.0000
```

Here is an optimized crystal structure of TlGaSb2I from the Alexandria database. Energies are from GGA-PBEsol.

- Crystal system: tetragonal
- E_tot: -2.672 eV/atom
- Theoretical density: 5505 kg/m³
- ΔE_f (raw): 0.70 eV per atom

```
TlGaSb2I
1.0
-1.0044 5.4927 0.2816
-4.4298 -0.6382 -3.3507
-3.6268 -0.9180 4.9696
Tl Sb Ga I
1 2 1 1
Cartesian
0.0000 0.0000 0.0000
-0.5022 2.7463 0.1408
-2.2149 -0.3191 -1.6754
-4.5305 1.9682 0.9502
-1.8134 -0.4590 2.4848
```

Here is an optimized crystal structure of ZnFe4CoO8 from the Alexandria database. Energies are from GGA-PBEsol.

- Crystal system: cubic
- E_tot: -7.432 eV/atom
- E above lowest polymorph: 0 meV per atom
- Theoretical density: 6093 kg/m³
- ΔE_f (raw): -1.21 eV per atom

```
ZnFe4CoO8
1.0
-0.0625 5.6361 -0.7104
-4.9503 2.7737 -0.2747
-1.6009 3.3840 4.2731
Fe O Zn Co
4 8 1 1
Cartesian
-2.4921 4.4441 1.2390
-2.5229 7.2212 0.8889
-3.2810 6.1115 3.3445
-4.9314 5.8108 1.1036
-3.3309 5.6971 0.0608
-3.1184 2.8708 0.3347
-4.0654 7.2495 2.0211
-1.7944 5.9771 2.1471
-4.0367 4.6639 2.3470
-1.6301 3.1420 2.3555
-0.9465 4.1427 0.1411
-0.9187 1.6383 0.4568
0.0000 0.0000 0.0000
-4.9603 8.8454 2.4660
```

Here is an optimized crystal structure of Ni3P2H16O16 from the Alexandria database. Energies are from GGA-PBEsol.

- Crystal system: monoclinic
- E_tot: -5.738 eV/atom
- Theoretical density: 3035 kg/m³

```
Ni3P2H16O16
1.0
-3.1460 -3.1042 1.2230
1.7284 -2.7685 -7.3811
6.1322 -2.5078 4.6087
O H Ni P
16 16 3 2
Cartesian
3.8645 -4.3844 -2.7166
1.4719 -2.8555 -3.5748
5.3985 -4.0155 3.3248
-1.5758 -3.5840 0.6567
0.8501 -3.9962 1.1672
-0.6838 -4.3651 -4.8743
2.6937 -4.1651 4.3215
6.2905 -4.7966 -2.2061
3.4751 -2.7369 1.8794
2.2197 -5.5914 -0.6937
3.2428 -5.5250 2.0254
2.0209 -4.2155 -5.8709
-0.0508 -4.0495 -1.2858
1.2395 -5.6436 -3.4288
4.7655 -4.3311 -0.2636
2.4950 -2.7891 -0.8557
2.0519 -2.0595 -3.3913
4.5317 -7.2884 -0.4035
0.8962 -1.0500 0.7961
1.7421 -3.2712 -4.4456
0.4642 -5.2578 -3.9331
0.5864 -2.4189 1.5841
0.9272 -6.4239 -2.8833
4.2504 -3.1227 2.3836
2.9725 -5.1093 2.8962
5.2584 -5.8948 -0.0563
2.6627 -6.3211 1.8419
-0.5438 -2.4858 -1.4931
3.8184 -7.3306 -2.3455
3.7874 -1.9567 1.3339
4.1282 -5.9617 -3.1335
0.1829 -1.0922 -1.1459
2.8584 -4.1606 0.5896
-1.5730 -1.5521 0.6115
1.8562 -4.2200 -2.1390
-0.3061 -4.3961 0.2080
5.0207 -3.9845 -1.7574
```

Here is an optimized crystal structure of MgAl2Si from the Alexandria database. Energies are from GGA-PBEsol.

- Crystal system: orthorhombic
- E_tot: -3.847 eV/atom
- Theoretical density: 2608 kg/m³
- ΔE_f (raw): 0.06 eV per atom

```
MgAl2Si
1.0
-1.1423 2.3751 -1.1985
-2.3964 0.6537 3.5793
4.5231 1.7751 2.7041
Si Al Mg
1 2 1
Cartesian
1.3357 2.2265 3.1392
1.4240 1.0676 0.7584
-1.1706 1.9633 1.5093
2.7435 3.6726 1.1661
```

Here is an optimized crystal structure of Co5Si3 from the Alexandria database. Energies are from GGA-PBEsol.

- Crystal system: hexagonal
- E_tot: -7.496 eV/atom
- Theoretical density: 7363 kg/m³
- ΔE_f (raw): -0.50 eV per atom

```
Co5Si3
1.0
4.6552 0.0000 0.0000
0.0000 6.5110 0.0000
0.0000 -3.2555 5.6387
Co Si
10 6
Cartesian
3.4914 -0.8069 1.3976
2.3276 3.2555 1.8796
0.0000 3.2555 1.8796
3.4914 1.6138 0.0000
2.3276 0.0000 3.7591
0.0000 0.0000 3.7591
1.1638 0.8069 1.3976
1.1638 -2.4486 4.2411
3.4914 2.4486 4.2411
1.1638 4.8972 0.0000
3.4914 -1.9685 3.4096
1.1638 1.9685 3.4096
3.4914 1.2870 2.2291
3.4914 3.9371 0.0000
1.1638 -1.2870 2.2291
1.1638 2.5739 0.0000
```

Here is an optimized crystal structure of Ca2POs from the Alexandria database. Energies are from GGA-PBEsol.

- Crystal system: tetragonal
- E_tot: -5.477 eV/atom
- Formation enthalpy at 0 K: 35.3 kJ/mol of formula units
- Theoretical density: 6824 kg/m³

```
Ca2POs
1.0
4.2353 0.0000 0.0000
0.0000 4.2353 0.0000
-2.1176 -2.1176 4.0882
P Os Ca
1 1 2
Cartesian
0.0000 0.0000 0.0000
2.1176 2.1176 0.0000
2.1176 0.0000 2.0441
0.0000 2.1176 2.0441
```

Here is an optimized crystal structure of AgSbTe3Pb from the Alexandria database. Energies are from GGA-PBEsol.

- Crystal system: orthorhombic
- E_tot: -3.882 eV/atom
- Theoretical density: 7825 kg/m³
- ΔE_f (raw): -0.14 eV per atom

```
AgSbTe3Pb
1.0
4.3509 0.0000 0.0000
0.0000 6.1729 0.0000
-2.1755 -3.0864 6.4761
Ag Sb Te Pb
1 1 3 1
Cartesian
2.1755 3.0864 6.4281
2.1755 3.0864 2.2295
0.0000 3.0864 4.4489
2.1755 0.0000 1.9526
0.0000 3.0864 0.1415
0.0000 0.0000 4.2277
```

Here is an optimized crystal structure of ZrBe3Rh from the Alexandria database. Energies are from GGA-PBEsol.

- Crystal system: cubic
- E_tot: -5.896 eV/atom
- Formation enthalpy at 0 K: -24.3 kJ/mol of formula units
- Theoretical density: 5434 kg/m³

```
ZrBe3Rh
1.0
4.0732 0.0000 0.0000
0.0000 4.0732 0.0000
0.0000 0.0000 4.0732
Be Rh Zr
3 1 1
Cartesian
0.0000 2.0366 0.0000
2.0366 0.0000 0.0000
0.0000 0.0000 2.0366
0.0000 0.0000 0.0000
2.0366 2.0366 2.0366
```

Here is an optimized crystal structure of Li2MgTl from the Alexandria database. Energies are from GGA-PBEsol.

- Crystal system: tetragonal
- E_tot: -2.279 eV/atom
- Formation enthalpy at 0 K: -80.7 kJ/mol of formula units
- Theoretical density: 5295 kg/m³

```
Li2MgTl
1.0
3.5848 0.0000 0.0000
0.0000 4.6067 0.0000
0.0000 0.0000 4.6067
Li Mg Tl
2 1 1
Cartesian
0.0000 2.3034 0.0000
0.0000 0.0000 2.3034
1.7924 2.3034 2.3034
1.7924 0.0000 0.0000
```

Here is an optimized crystal structure of MgAl2P from the Alexandria database. Energies are from GGA-PBEsol.

- Crystal system: orthorhombic
- E_tot: -4.073 eV/atom
- Formation enthalpy at 0 K: -57.8 kJ/mol of formula units
- E above lowest polymorph: 0 meV per atom
- Theoretical density: 2548 kg/m³

```
MgAl2P
1.0
3.4978 0.0000 0.0000
0.0000 3.8166 0.0000
0.0000 -1.9083 5.3329
P Mg Al
1 1 2
Cartesian
1.7489 0.0000 3.6449
0.0000 1.9083 4.2888
1.7489 1.9083 0.7665
0.0000 0.0000 1.8635
```

Here is an optimized crystal structure of SrOs2PbW from the Alexandria database. Energies are from GGA-PBEsol.

- Crystal system: tetragonal
- E_tot: -5.223 eV/atom
- Formation enthalpy at 0 K: 1733.1 kJ/mol of formula units
- Theoretical density: 12078 kg/m³

```
SrOs2PbW
1.0
4.7194 0.0000 0.0000
0.0000 4.7194 0.0000
0.0000 0.0000 5.3032
Os Sr W Pb
2 1 1 1
Cartesian
0.0000 2.3597 0.0000
2.3597 0.0000 0.0000
0.0000 0.0000 0.0000
2.3597 2.3597 2.6516
0.0000 0.0000 2.6516
```

Here is an optimized crystal structure of La2WSe from the Alexandria database. Energies are from GGA-PBEsol.

- Crystal system: tetragonal
- E_tot: -7.029 eV/atom
- E above lowest polymorph: 263 meV per atom
- Theoretical density: 9599 kg/m³
- ΔE_f (raw): 0.06 eV per atom

```
La2WSe
1.0
-3.2181 -0.5547 2.7234
2.3899 -2.6793 2.2783
2.1401 5.5764 0.3450
W Se La
1 1 2
Cartesian
2.0579 0.6400 2.5621
-0.4141 -1.6170 2.5009
-0.7461 1.7024 2.7846
0.0000 0.0000 0.0000
```

Here is an optimized crystal structure of HoHg2 from the Alexandria database. Energies are from GGA-PBEsol.

- Crystal system: hexagonal
- E_tot: -2.533 eV/atom
- Formation enthalpy at 0 K: -146.3 kJ/mol of formula units
- Theoretical density: 13857 kg/m³

```
HoHg2
1.0
-2.2433 -0.4112 2.4514
2.5885 -3.6926 1.7494
0.8610 4.5025 1.5432
Hg Ho
2 1
Cartesian
0.3151 1.5652 2.8376
0.8910 -1.1665 2.9063
0.0000 0.0000 0.0000
```

Here is an optimized crystal structure of CsCaBi2 from the Alexandria database. Energies are from GGA-PBEsol.

- Crystal system: cubic
- E_tot: -3.194 eV/atom
- Formation enthalpy at 0 K: -109.0 kJ/mol of formula units
- Theoretical density: 6887 kg/m³

```
CsCaBi2
1.0
5.8627 0.0000 0.0000
2.9313 5.0772 0.0000
2.9313 1.6924 4.7869
Cs Bi Ca
1 2 1
Cartesian
5.8627 3.3848 2.3934
8.7940 5.0772 3.5901
2.9313 1.6924 1.1967
0.0000 0.0000 0.0000
```

Here is an optimized crystal structure of Cr2ReOs from the Alexandria database. Energies are from GGA-PBEsol.

- Crystal system: orthorhombic
- E_tot: -11.260 eV/atom
- Formation enthalpy at 0 K: 95.8 kJ/mol of formula units
- Theoretical density: 15297 kg/m³

```
Cr2ReOs
1.0
-2.0284 -1.5858 -0.3779
1.3319 -0.6883 2.1270
-4.7330 4.9650 4.5707
Os Cr Re
1 2 1
Cartesian
-2.7147 1.3454 3.1599
-1.1821 1.2400 1.1416
-3.5509 3.7249 3.4291
-0.3482 -1.1370 0.8745
```

Here is an optimized crystal structure of LiCa2Zn from the Alexandria database. Energies are from GGA-PBEsol.

- Crystal system: orthorhombic
- E_tot: -2.038 eV/atom
- Formation enthalpy at 0 K: -32.3 kJ/mol of formula units
- Theoretical density: 2306 kg/m³

```
LiCa2Zn
1.0
-3.5986 2.0632 0.9180
-2.2980 -3.7763 -0.5213
2.5336 -2.2555 5.1700
Ca Li Zn
2 1 1
Cartesian
0.1604 -0.2674 1.2298
-0.5585 -2.8725 4.2664
-1.3365 0.2601 4.0070
-2.6751 -1.3120 2.2929
```

Here is an optimized crystal structure of Co2Ir from the Alexandria database. Energies are from GGA-PBEsol.

- Crystal system: orthorhombic
- E_tot: -8.401 eV/atom
- Formation enthalpy at 0 K: 9.2 kJ/mol of formula units
- E above lowest polymorph: 0 meV per atom
- Theoretical density: 14796 kg/m³

```
Co2Ir
1.0
2.5953 0.0000 0.0000
0.0000 4.0876 0.0000
-1.2976 0.0000 6.5608
Ir Co
2 4
Cartesian
0.0000 3.0657 5.1125
1.2976 1.0219 1.4483
1.2976 1.0219 5.8053
0.0000 3.0657 0.7554
1.2976 3.0657 2.9225
0.0000 1.0219 3.6382
```